Entry 1:
First-principles (PBE) data for a relaxed structure of SrInF2, as listed in Alexandria via LeMat-Bulk.

Summary:
For the formation energy (no corrections), the calculation gives -2.651 eV/atom. The value obtained for the density of states at the Fermi level is 0.206 states/eV/atom.

a = 3.882 Å, b = 3.882 Å, c = 23.117 Å
α = 90.00°, β = 90.00°, γ = 120.00°
Atoms (fractional coordinates):
Sr1 0.000 0.000 0.000
Sr2 0.333 0.667 0.667
Sr3 0.667 0.333 0.333
In1 0.000 0.000 0.500
In2 0.333 0.667 0.167
In3 0.667 0.333 0.833
F1 0.000 0.000 0.375
F2 0.000 0.000 0.625
F3 0.333 0.667 0.042
F4 0.333 0.667 0.291
F5 0.667 0.333 0.709
F6 0.667 0.333 0.958

Entry 2:
First-principles (PBE) data for a relaxed structure of SrInF2, as listed in Alexandria via LeMat-Bulk.

Summary:
For the formation energy (no corrections), the calculation gives -2.377 eV/atom. The value obtained for the density of states at the Fermi level is 0.515 states/eV/atom.

a = 6.262 Å, b = 6.262 Å, c = 11.861 Å
α = 90.00°, β = 90.00°, γ = 90.00°
Atoms (fractional coordinates):
Sr1 0.000 0.000 0.000
Sr2 0.000 0.500 0.250
Sr3 0.500 0.000 0.750
Sr4 0.500 0.500 0.500
In1 0.000 0.000 0.500
In2 0.000 0.500 0.750
In3 0.500 0.000 0.250
In4 0.500 0.500 0.000
F1 0.138 0.250 0.125
F2 0.250 0.638 0.375
F3 0.250 0.862 0.875
F4 0.362 0.250 0.625
F5 0.638 0.750 0.625
F6 0.750 0.138 0.875
F7 0.750 0.362 0.375
F8 0.862 0.750 0.125

Entry 3:
First-principles (PBE) data for a relaxed structure of SrIn2F7, as listed in Alexandria via LeMat-Bulk.

Summary:
For the formation energy (no corrections), the calculation gives -2.719 eV/atom. The value obtained for the density of states at the Fermi level is 0.152 states/eV/atom.

a = 6.463 Å, b = 6.463 Å, c = 4.164 Å
α = 90.00°, β = 90.00°, γ = 112.88°
Atoms (fractional coordinates):
Sr1 0.000 0.000 0.000
In1 0.303 0.697 0.500
In2 0.697 0.303 0.500
F1 0.054 0.315 0.500
F2 0.250 0.750 0.000
F3 0.315 0.054 0.500
F4 0.500 0.500 0.500
F5 0.685 0.946 0.500
F6 0.750 0.250 0.000
F7 0.946 0.685 0.500

Among the records above, which one has the lowest formation energy (no corrections)? SrIn2F7